DFT (GGA-PBE) results for crystalline PaRu at its relaxed geometry.

CIF file:
```
data_PaRu
_chemical_formula_sum 'Pa1 Ru1'
_symmetry_space_group_name_H-M 'P m -3 m'
_symmetry_Int_Tables_number 221
_symmetry_space_group_name_Hall '-P 4 2 3'
_cell_length_a 3.4232
_cell_length_b 3.4232
_cell_length_c 3.4232
_cell_angle_alpha 90.00
_cell_angle_beta 90.00
_cell_angle_gamma 90.00
loop_
_atom_site_label
_atom_site_type_symbol
_atom_site_fract_x
_atom_site_fract_y
_atom_site_fract_z
_atom_site_occupancy
Pa1 Pa 0.0000 0.0000 0.0000 1
Ru1 Ru 0.5000 0.5000 0.5000 1
```

Values from the calculation:
- Raw total energy: -19.47 eV per cell
- Theoretical density: 13.7 g/cm3
- DOS at the Fermi energy: 3.52 states/eV/cell
- Spin magnetization: 0.00 Bohr magnetons per cell
- Energy of formation: -0.35 eV/atom